# 1
Entry from OQMD via LeMat-Bulk: BaZn after structural relaxation (PBE).

The structure belongs to space group P2_1/m (No. 11); the cell edges are 8.4215, 5.6855 and 8.7632 Å and the angles 90.00°, 104.24° and 90.00°. Symmetry generates all atoms from Ba at (0.1012, 0.2500, 0.2865), Ba at (0.2703, 0.2500, 0.7287), Ba at (0.2777, 0.7500, 0.1148), Zn at (0.1500, 0.7500, 0.4819), Zn at (0.4699, 0.7500, 0.5574) and Zn at (0.4825, 0.2500, 0.1288).

Its total energy is -19.93 eV per cell. For the density, the calculation gives 4.97 g/cm3.

# 2
Entry from OQMD via LeMat-Bulk: AcHgPt4 after structural relaxation (PBE).

The structure belongs to space group F-43m (No. 216); the cell edges are 7.8095, 7.8095 and 7.8095 Å and the angles 90.00°, 90.00° and 90.00°. Symmetry generates all atoms from Ac at (0.0000, 0.0000, 0.0000), Hg at (0.2500, 0.2500, 0.7500) and Pt at (0.1242, 0.1242, 0.3758).

Its total energy is -132.34 eV per cell. Its formation energy is -4.5 eV/f.u. For the density, the calculation gives 16.85 g/cm3. Its magnetization is 0.00 μB/atom.

# 3
Entry from OQMD via LeMat-Bulk: CuAg9 after structural relaxation (PBE).

The structure belongs to space group P4/m (No. 83); the cell edges are 6.5101, 6.5101 and 4.1092 Å and the angles 90.00°, 90.00° and 90.00°. Symmetry generates all atoms from Cu at (0.0000, 0.0000, 0.0000), Ag at (0.0974, 0.7066, 0.5000), Ag at (0.1976, 0.3947, 0.0000) and Ag at (0.5000, 0.5000, 0.5000).

The calculation puts the energy relative to the lowest polymorph listed for this composition at 0.0108 eV per atom. Its total energy is -28.85 eV per cell. Its formation energy is 0.3 eV/f.u. For the density, the calculation gives 9.86 g/cm3.

# 4
Entry from OQMD via LeMat-Bulk: NaGa2Pt2 after structural relaxation (PBE).

The structure belongs to space group I4/mmm (No. 139); the cell edges are 4.1225, 4.1225 and 10.9291 Å and the angles 90.00°, 90.00° and 90.00°. Symmetry generates all atoms from Na at (0.0000, 0.0000, 0.0000), Ga at (0.0000, 0.0000, 0.3841) and Pt at (0.0000, 0.5000, 0.2500).

The calculation puts the energy relative to the lowest polymorph listed for this composition at 0.0678 eV per atom. Its total energy is -44.36 eV per cell. For the density, the calculation gives 9.88 g/cm3. Its magnetization is 0.00 μB/atom.

# 5
Entry from OQMD via LeMat-Bulk: YFeBiAu after structural relaxation (PBE).

The structure belongs to space group F-43m (No. 216); the cell edges are 6.9453, 6.9453 and 6.9453 Å and the angles 90.00°, 90.00° and 90.00°. Symmetry generates all atoms from Y at (0.0000, 0.0000, 0.0000), Fe at (0.0000, 0.0000, 0.5000), Bi at (0.2500, 0.2500, 0.2500) and Au at (0.2500, 0.2500, 0.7500).

The calculation puts the energy relative to the lowest polymorph listed for this composition at 0.0000 eV per atom. Its total energy is -90.14 eV per cell. For the density, the calculation gives 10.92 g/cm3. Its magnetization is 0.71 μB/atom.

# 6
Entry from OQMD via LeMat-Bulk: YFeB after structural relaxation (PBE).

The structure belongs to space group F-43m (No. 216); the cell edges are 5.7261, 5.7261 and 5.7261 Å and the angles 90.00°, 90.00° and 90.00°. Symmetry generates all atoms from Y at (0.0000, 0.0000, 0.0000), Fe at (0.2500, 0.2500, 0.7500) and B at (0.0000, 0.0000, 0.5000).

The calculation puts the energy relative to the lowest polymorph listed for this composition at 1.1156 eV per atom. Its total energy is -76.89 eV per cell. For the density, the calculation gives 5.50 g/cm3. Its magnetization is 0.01 μB/atom.

# 7
Entry from OQMD via LeMat-Bulk: RbScTe3Pd after structural relaxation (PBE).

The structure belongs to space group Cmcm (No. 63); the cell edges are 4.2046, 17.7673 and 10.1949 Å and the angles 90.00°, 90.00° and 90.00°. Symmetry generates all atoms from Rb at (0.0000, 0.2447, 0.2500), Sc at (0.0000, 0.0000, 0.0000), Te at (0.0000, 0.0847, 0.7500), Te at (0.0000, 0.3880, 0.5634) and Pd at (0.0000, 0.4903, 0.7500).

Its total energy is -109.02 eV per cell. For the density, the calculation gives 5.40 g/cm3. Its magnetization is 0.00 μB/atom.

# 8
Entry from OQMD via LeMat-Bulk: Ni124Sb after structural relaxation (PBE).

The structure belongs to space group Fm-3m (No. 225); the cell edges are 17.5261, 17.5261 and 17.5261 Å and the angles 90.00°, 90.00° and 90.00°. Symmetry generates all atoms from Ni at (0.0000, 0.0000, 0.1000), Ni at (0.0000, 0.0000, 0.2993), Ni at (0.0000, 0.1001, 0.2000), Ni at (0.0000, 0.1028, 0.3972), Ni at (0.0000, 0.2007, 0.2993), Ni at (0.0999, 0.0999, 0.0999), Ni at (0.1005, 0.1005, 0.2993), Ni at (0.1002, 0.1999, 0.1999), Ni at (0.2002, 0.2002, 0.2998) and Sb at (0.0000, 0.0000, 0.5000).

Its total energy is -2778.40 eV per cell. For the density, the calculation gives 9.13 g/cm3. Its magnetization is 0.60 μB/atom.